No. 1
Here is an optimized crystal structure of KNpCuF6 from the Alexandria database. Energies are from PBE.

Its calculated volume is 354.6 Å³ per cell.

a = 8.1549 Å, b = 8.1549 Å, c = 8.1549 Å
α = 130.87°, β = 115.43°, γ = 85.19°
Closest atoms and distances in Å follow each position.
Atoms (fractional coordinates):
K (0.4474, 0.1974, 0.2500)  4 F 2.66
K (0.5526, 0.8026, 0.7500)  4 F 2.66
Np (0.0000, 0.5000, 0.5000)  6 F 2.13-2.29
Np (0.5000, 0.5000, 0.0000)  6 F 2.13-2.29
Cu (0.0000, 0.0000, 0.5000)  2 F 1.86
Cu (0.0000, 0.5000, 0.0000)  2 F 1.86
F (0.0641, 0.8141, 0.2500)  2 Cu 1.86
F (0.1907, 0.4060, 0.3581)  1 Np 2.13
F (0.1906, 0.4406, 0.7500)  2 Np 2.29
F (0.1907, 0.8326, 0.7847)  1 Np 2.13
F (0.4521, 0.1674, 0.8581)  1 Np 2.13
F (0.4521, 0.5940, 0.2847)  1 Np 2.13
F (0.5479, 0.4060, 0.7153)  1 Np 2.13
F (0.5479, 0.8326, 0.1419)  1 Np 2.13
F (0.8093, 0.1674, 0.2153)  1 Np 2.13
F (0.8094, 0.5594, 0.2500)  2 Np 2.29
F (0.8093, 0.5940, 0.6419)  1 Np 2.13
F (0.9359, 0.1859, 0.7500)  2 Cu 1.86

---

No. 2
Here is an optimized crystal structure of KCu3P3O8F6 from the Alexandria database. Energies are from PBE.

Its calculated volume is 578.7 Å³ per cell.

a = 10.3901 Å, b = 10.3901 Å, c = 7.8715 Å
α = 102.09°, β = 102.09°, γ = 44.36°
Closest atoms and distances in Å follow each position.
Atoms (fractional coordinates):
K (0.1750, 0.8250, 0.7500)  4 O 2.72-3.03, 2 F 2.95
K (0.8250, 0.1750, 0.2500)  4 O 2.72-3.03, 2 F 2.95
Cu (0.0000, 0.5000, 0.0000)  2 F 1.90, 2 O 2.02
Cu (0.3055, 0.3663, 0.6840)  4 O 1.97-2.02, 1 F 2.17
Cu (0.3663, 0.3055, 0.1840)  4 O 1.97-2.02, 1 F 2.17
Cu (0.5000, 0.0000, 0.5000)  2 F 1.90, 2 O 2.02
Cu (0.6337, 0.6945, 0.8160)  4 O 1.97-2.02, 1 F 2.17
Cu (0.6945, 0.6337, 0.3160)  4 O 1.97-2.02, 1 F 2.17
P (0.0057, 0.6466, 0.4069)  3 O 1.52-1.54, 1 F 1.61
P (0.3534, 0.9943, 0.0931)  3 O 1.52-1.54, 1 F 1.61
P (0.3772, 0.6228, 0.2500)  2 O 1.49, 2 F 1.58
P (0.6228, 0.3772, 0.7500)  2 O 1.49, 2 F 1.58
P (0.6466, 0.0057, 0.9069)  3 O 1.52-1.54, 1 F 1.61
P (0.9943, 0.3534, 0.5931)  3 O 1.52-1.54, 1 F 1.61
O (0.1013, 0.5085, 0.2462)  1 P 1.54
O (0.1373, 0.5983, 0.5700)  1 P 1.52
O (0.1699, 0.2974, 0.5668)  1 P 1.52
O (0.2974, 0.1699, 0.0668)  1 P 1.52
O (0.4017, 0.8627, 0.9300)  1 P 1.52
O (0.4138, 0.4640, 0.2881)  1 P 1.49
O (0.4640, 0.4138, 0.7881)  1 P 1.49
O (0.4915, 0.8987, 0.2538)  1 P 1.54
O (0.5085, 0.1013, 0.7462)  1 P 1.54
O (0.5360, 0.5862, 0.2119)  1 P 1.49
O (0.5862, 0.5360, 0.7119)  1 P 1.49
O (0.5983, 0.1373, 0.0700)  1 P 1.52
O (0.7026, 0.8301, 0.9332)  1 P 1.52
O (0.8301, 0.7026, 0.4332)  1 P 1.52
O (0.8627, 0.4017, 0.4300)  1 P 1.52
O (0.8987, 0.4915, 0.7538)  1 P 1.54
F (0.0600, 0.1683, 0.6374)  1 P 1.61
F (0.1683, 0.0600, 0.1374)  1 P 1.61
F (0.1803, 0.4760, 0.9281)  1 Cu 1.90
F (0.2171, 0.7304, 0.0989)  1 P 1.58
F (0.2696, 0.7829, 0.4011)  1 P 1.58
F (0.4760, 0.1803, 0.4281)  1 Cu 1.90
F (0.5240, 0.8197, 0.5719)  1 Cu 1.90
F (0.7304, 0.2171, 0.5989)  1 P 1.58
F (0.7829, 0.2696, 0.9011)  1 P 1.58
F (0.8197, 0.5240, 0.0719)  1 Cu 1.90
F (0.8317, 0.9400, 0.8626)  1 P 1.61
F (0.9400, 0.8317, 0.3626)  1 P 1.61

---

No. 3
Here is an optimized crystal structure of KCu2OsF8 from the Alexandria database. Energies are from PBE.

Its calculated volume is 216.9 Å³ per cell.

a = 9.0170 Å, b = 9.0170 Å, c = 9.0170 Å
α = 35.14°, β = 35.14°, γ = 35.14°
Closest atoms and distances in Å follow each position.
Atoms (fractional coordinates):
K (0.0000, 0.0000, 0.0000)  6 F 3.14
Cu (0.2655, 0.2655, 0.2655)  1 F 1.83
Cu (0.7345, 0.7345, 0.7345)  1 F 1.83
Os (0.5000, 0.5000, 0.5000)  6 F 1.94
F (0.1231, 0.6176, 0.6227)  1 Os 1.94, 1 Cu 2.08
F (0.3378, 0.3378, 0.3378)  1 Cu 1.83
F (0.3773, 0.3824, 0.8769)  1 Os 1.94, 1 Cu 2.08
F (0.3824, 0.8769, 0.3773)  1 Os 1.94, 1 Cu 2.08
F (0.6176, 0.6227, 0.1231)  1 Os 1.94, 1 Cu 2.08
F (0.6227, 0.1231, 0.6176)  1 Os 1.94, 1 Cu 2.08
F (0.6622, 0.6622, 0.6622)  1 Cu 1.83
F (0.8769, 0.3773, 0.3824)  1 Os 1.94, 1 Cu 2.08

---

No. 4
Here is an optimized crystal structure of K3Cu2PbF9 from the Alexandria database. Energies are from PBE.

Its calculated volume is 241.7 Å³ per cell.

a = 5.9738 Å, b = 5.9738 Å, c = 7.8219 Å
α = 90.00°, β = 90.00°, γ = 120.00°
Closest atoms and distances in Å follow each position.
Atoms (fractional coordinates):
K (0.0000, 0.0000, 0.0000)  12 F 2.96-2.99
K (0.3333, 0.6667, 0.7187)  9 F 2.80-2.99
K (0.6667, 0.3333, 0.2813)  9 F 2.80-2.99
Cu (0.3333, 0.6667, 0.1488)  6 F 2.03-2.08
Cu (0.6667, 0.3333, 0.8512)  6 F 2.03-2.08
Pb (0.0000, 0.0000, 0.5000)  6 F 2.39
F (0.0000, 0.5000, 0.0000)  2 Cu 2.08
F (0.1741, 0.3482, 0.2998)  1 Cu 2.03
F (0.1741, 0.8259, 0.2998)  1 Cu 2.03
F (0.3482, 0.1741, 0.7002)  1 Cu 2.03
F (0.5000, 0.0000, 0.0000)  2 Cu 2.08
F (0.5000, 0.5000, 0.0000)  2 Cu 2.08
F (0.6518, 0.8259, 0.2998)  1 Cu 2.03
F (0.8259, 0.1741, 0.7002)  1 Cu 2.03
F (0.8259, 0.6518, 0.7002)  1 Cu 2.03

---

No. 5
Here is an optimized crystal structure of K2CuPbF6 from the Alexandria database. Energies are from PBE.

Its calculated volume is 338.0 Å³ per cell.

a = 6.1768 Å, b = 6.2865 Å, c = 10.6478 Å
α = 90.00°, β = 125.17°, γ = 90.00°
Closest atoms and distances in Å follow each position.
Atoms (fractional coordinates):
K (0.2404, 0.0395, 0.2494)  6 F 2.71-2.98
K (0.2404, 0.4605, 0.7494)  6 F 2.71-2.98
K (0.7596, 0.5395, 0.2506)  6 F 2.71-2.98
K (0.7596, 0.9605, 0.7506)  6 F 2.71-2.98
Cu (0.0000, 0.0000, 0.5000)  6 F 2.03-2.11
Cu (0.0000, 0.5000, 0.0000)  6 F 2.03-2.11
Pb (0.5000, 0.0000, 0.0000)  6 F 2.42-2.43
Pb (0.5000, 0.5000, 0.5000)  6 F 2.42-2.43
F (0.1473, 0.2275, 0.9575)  1 Cu 2.11
F (0.1473, 0.2725, 0.4575)  1 Cu 2.11
F (0.2329, 0.6918, 0.9624)  1 Cu 2.08
F (0.2329, 0.8082, 0.4624)  1 Cu 2.08
F (0.3018, 0.0238, 0.7263)  1 Cu 2.03
F (0.3018, 0.4762, 0.2263)  1 Cu 2.03
F (0.6982, 0.5238, 0.7737)  1 Cu 2.03
F (0.6982, 0.9762, 0.2737)  1 Cu 2.03
F (0.7671, 0.1918, 0.5376)  1 Cu 2.08
F (0.7671, 0.3082, 0.0376)  1 Cu 2.08
F (0.8527, 0.7275, 0.5425)  1 Cu 2.11
F (0.8527, 0.7725, 0.0425)  1 Cu 2.11

---

No. 6
Here is an optimized crystal structure of KCuPbF6 from the Alexandria database. Energies are from PBE.

Its calculated volume is 299.2 Å³ per cell.

a = 7.4125 Å, b = 7.4125 Å, c = 7.4125 Å
α = 118.45°, β = 115.72°, γ = 95.14°
Closest atoms and distances in Å follow each position.
Atoms (fractional coordinates):
K (0.3327, 0.0827, 0.2500)  9 F 2.85-3.08
K (0.6673, 0.9173, 0.7500)  9 F 2.85-3.08
Cu (0.0000, 0.0000, 0.5000)  6 F 1.92-2.00
Cu (0.0000, 0.5000, 0.0000)  6 F 1.92-2.00
Pb (0.0000, 0.5000, 0.5000)  6 F 2.38-2.53
Pb (0.5000, 0.5000, 0.0000)  6 F 2.38-2.53
F (0.0385, 0.3323, 0.1378)  1 Cu 1.92
F (0.0385, 0.9007, 0.7061)  1 Cu 1.92
F (0.0638, 0.3138, 0.7500)  2 Cu 2.00
F (0.3055, 0.0993, 0.6378)  1 Cu 1.92
F (0.3055, 0.6677, 0.2061)  1 Cu 1.92
F (0.3825, 0.6325, 0.7500)  2 Pb 2.38
F (0.6175, 0.3675, 0.2500)  2 Pb 2.38
F (0.6945, 0.3323, 0.7939)  1 Cu 1.92
F (0.6945, 0.9007, 0.3622)  1 Cu 1.92
F (0.9362, 0.6862, 0.2500)  2 Cu 2.00
F (0.9615, 0.0993, 0.2939)  1 Cu 1.92
F (0.9615, 0.6677, 0.8622)  1 Cu 1.92

---

No. 7
Here is an optimized crystal structure of K2Cu2PdF6 from the Alexandria database. Energies are from PBE.

Its calculated volume is 182.7 Å³ per cell.

a = 6.8188 Å, b = 6.8188 Å, c = 5.3490 Å
α = 105.41°, β = 105.41°, γ = 50.21°
Closest atoms and distances in Å follow each position.
Atoms (fractional coordinates):
K (0.2228, 0.2228, 0.1855)  8 F 2.71-2.98
K (0.7772, 0.7772, 0.8145)  8 F 2.71-2.98
Cu (0.4594, 0.4594, 0.7558)  3 F 1.87-2.05
Cu (0.5406, 0.5406, 0.2442)  3 F 1.87-2.05
Pd (0.0000, 0.0000, 0.5000)  4 F 2.04
F (0.1741, 0.6703, 0.2419)  1 Pd 2.04, 1 Cu 2.05
F (0.3034, 0.3034, 0.7150)  1 Cu 1.87
F (0.3297, 0.8259, 0.7581)  1 Pd 2.04, 1 Cu 2.05
F (0.6703, 0.1741, 0.2419)  1 Pd 2.04, 1 Cu 2.05
F (0.6966, 0.6966, 0.2850)  1 Cu 1.87
F (0.8259, 0.3297, 0.7581)  1 Pd 2.04, 1 Cu 2.05

---

No. 8
Here is an optimized crystal structure of KCuPdF6 from the Alexandria database. Energies are from PBE.

Its calculated volume is 147.6 Å³ per cell.

a = 5.6060 Å, b = 5.6060 Å, c = 5.4210 Å
α = 90.00°, β = 90.00°, γ = 120.00°
Closest atoms and distances in Å follow each position.
Atoms (fractional coordinates):
K (0.0000, 0.0000, 0.0000)  6 F 2.67
Cu (0.3333, 0.6667, 0.5000)  6 F 2.06
Pd (0.6667, 0.3333, 0.5000)  6 F 2.05
F (0.3730, 0.0015, 0.6930)  1 Pd 2.05, 1 Cu 2.06
F (0.3730, 0.3715, 0.3070)  1 Pd 2.05, 1 Cu 2.06
F (0.6285, 0.0015, 0.3070)  1 Pd 2.05, 1 Cu 2.06
F (0.6285, 0.6270, 0.6930)  1 Pd 2.05, 1 Cu 2.06
F (0.9985, 0.3715, 0.6930)  1 Pd 2.05, 1 Cu 2.06
F (0.9985, 0.6270, 0.3070)  1 Pd 2.05, 1 Cu 2.06

---

Per-record total energy, eV per atom: -6.03 -5.76 -4.58 -4.35 -4.41 -4.31 -4.14 -4.12